[1]
Here is a relaxed structure of Cs2TlNiI6 from the Alexandria database. Energies are from PBE-GGA.

extended XYZ file:
```
10
Lattice="-8.238 1.315 1.242 0.986 -1.587 8.225 -2.554 5.649 5.721" Properties=species:S:1:pos:R:3 pbc="T T T"
Tl 0.000 0.000 0.000
I -6.668 2.881 10.005
I -3.138 2.495 5.183
I -1.975 -0.074 2.578
I -1.526 -0.797 6.323
I -5.277 -0.198 6.889
I -5.726 0.524 3.143
Ni -3.626 -0.136 4.733
Cs -2.597 1.963 9.340
Cs -7.209 3.414 5.848
```

Space group = Fm-3m, No. 225
D(E_F) = 2.2 states/eV per cell
Uncorrected formation energy = -7.6 eV/f.u.

[2]
Here is a relaxed structure of Tb2NdPaP4 from the Alexandria database. Energies are from PBE-GGA.

extended XYZ file:
```
8
Lattice="4.046 0.000 0.000 0.000 7.011 0.128 0.000 -2.443 6.531" Properties=species:S:1:pos:R:3 pbc="T T T"
P 2.023 3.354 4.985
P 0.000 -0.027 4.947
P 0.000 4.594 1.711
P 2.023 1.213 1.674
Pa 2.023 3.505 0.064
Tb 2.023 -1.222 3.266
Tb 0.000 2.284 3.329
Nd 0.000 0.000 0.000
```

Space group = P2/m, No. 10
D(E_F) = 4.9 states/eV per cell
Formation energy from the elements = -1521 meV/atom

[3]
Here is a relaxed structure of CaLaAs from the Alexandria database. Energies are from PBE-GGA.

extended XYZ file:
```
6
Lattice="4.989 0.000 0.000 -2.494 4.322 -0.177 0.000 -2.510 8.459" Properties=species:S:1:pos:R:3 pbc="T T T"
La 2.494 0.128 3.144
La 0.000 1.684 5.138
Ca 0.000 -1.111 7.382
Ca 2.494 2.923 0.900
As 2.494 0.290 6.347
As 0.000 1.521 1.934
```

Space group = C2/m, No. 12
D(E_F) = 6.1 states/eV per cell
Formation energy from the elements = -872 meV/atom

[4]
Here is a relaxed structure of ScTa2Fe from the Alexandria database. Energies are from PBE-GGA.

extended XYZ file:
```
4
Lattice="5.393 -0.072 0.000 2.663 4.690 0.000 -4.028 -2.309 2.744" Properties=species:S:1:pos:R:3 pbc="T T T"
Fe 1.332 2.345 1.372
Ta 0.000 0.000 0.000
Ta 4.028 2.309 0.000
Sc 2.696 -0.036 1.372
```

Space group = I4/mmm, No. 139
D(E_F) = 5.6 states/eV per cell
Formation energy from the elements = 240 meV/atom

[5]
Here is a relaxed structure of Cu2SN from the Alexandria database. Energies are from PBE-GGA.

extended XYZ file:
```
4
Lattice="0.000 2.834 2.834 2.834 0.000 2.834 2.834 2.834 0.000" Properties=species:S:1:pos:R:3 pbc="T T T"
Cu 4.250 4.250 4.250
Cu 1.417 1.417 1.417
N 0.000 0.000 0.000
S 2.834 2.834 2.834
```

Space group = Fm-3m, No. 225
D(E_F) = 3.6 states/eV per cell
Uncorrected formation energy = 4.0 eV/f.u.

[6]
Here is a relaxed structure of YAl6Pd12 from the Alexandria database. Energies are from PBE-GGA.

extended XYZ file:
```
19
Lattice="7.176 -0.111 -0.156 -1.886 6.925 -0.156 -1.886 -2.429 6.486" Properties=species:S:1:pos:R:3 pbc="T T T"
Pd -0.390 1.808 2.546
Pd 1.702 -1.358 5.609
Pd -1.738 4.863 3.088
Pd 5.142 3.073 0.566
Pd 1.556 2.005 5.269
Pd 1.556 4.314 3.629
Pd 1.848 2.380 0.906
Pd -1.738 1.312 5.609
Pd 1.702 5.743 0.566
Pd 3.794 2.577 3.629
Pd 5.142 -0.478 3.088
Pd 1.848 0.071 2.546
Al 3.312 0.162 4.576
Al 0.092 4.223 1.599
Al 0.092 0.118 4.514
Al -0.664 3.249 4.576
Al 4.068 1.136 1.599
Al 3.312 4.267 1.661
Y 0.000 0.000 0.000
```

Space group = R-3m, No. 166
D(E_F) = 6.7 states/eV per cell
Formation energy from the elements = -722 meV/atom